Here is an optimized crystal structure of TmAlFe from Alexandria. Energies are from PBE.

Unit cell a=4.2153 b=4.2153 c=3.5497 alpha=90.00 beta=90.00 gamma=120.00
Fractional positions:
Tm  0.0000  0.0000  0.0000
Al  0.3333  0.6667  0.5000
Fe  0.6667  0.3333  0.5000

Computed properties:
- V (Å³/atom) = 18.21
- density (g/cm³) = 7.7
- E_tot (eV/f.u.) = -17.0
- space group = P-6m2 (187)
- energy of formation (eV/atom) = -0.119
- DOS at the Fermi energy (states/eV/cell) = 2.392